Material: Nb3AsF
Method: DFT, PBE
State: optimized geometry

Unit cell a=4.3100 b=4.3100 c=4.3100 alpha=90.00 beta=90.00 gamma=90.00
Sites, in units of the cell vectors:
Nb1 0.0000 0.5000 0.0000
Nb2 0.0000 0.0000 0.5000
Nb3 0.5000 0.0000 0.0000
As1 0.5000 0.5000 0.5000
F1 0.0000 0.0000 0.0000

Output
* energy: -36.9 eV for the cell shown
* total magnetization: 0.0 μB per formula unit
* D(E_F): 4.68 states/eV/f.u.
* formation energy without anion corrections: -0.041 eV per atom
* ΔE to the lowest computed polymorph: 0.000 eV/atom
* volume: 80 Å³/f.u.